# 1
A plane-wave DFT calculation with PBE-GGA was carried out for an optimized crystal structure of BaInOs2Pt.

## Properties
Its formation energy is 3.115 eV per atom. The size of the total moment is 3.03 μB/f.u.

abc: 5.076 5.076 5.807
angles: 90.00 90.00 90.00
Space group P4/mmm (No. 123)
One atom of each set of equivalent atoms:
Ba 0.000 0.000 0.000
In 0.000 0.000 0.500
Os 0.000 0.500 0.000
Pt 0.500 0.500 0.500



# 2
A plane-wave DFT calculation with PBE-GGA was carried out for an optimized crystal structure of MgTaH.

## Properties
As for the offset from the most stable computed form: 0.36 eV per formula unit. The size of the total moment is 0.00 μB/f.u.

abc: 2.942 4.958 5.749
angles: 90.00 98.27 90.00
Space group P2_1 (No. 4)
One atom of each set of equivalent atoms:
Mg 0.120 0.000 0.388
Ta 0.371 0.462 0.107
H 0.138 0.214 0.860



# 3
A plane-wave DFT calculation with PBE-GGA was carried out for an optimized crystal structure of LiCr2Ni.

## Properties
Its formation energy is 0.253 eV per atom. As for the offset from the most stable computed form: 0.34 eV per formula unit. The size of the total moment is 0.00 μB/f.u.

abc: 2.388 3.936 4.842
angles: 90.00 97.24 90.00
Space group Pm (No. 6)
One atom of each set of equivalent atoms:
Li 0.000 0.000 0.000
Cr 0.264 0.500 0.739
Cr 0.471 0.000 0.500
Ni 0.770 0.500 0.236



# 4
A plane-wave DFT calculation with PBE-GGA was carried out for an optimized crystal structure of Y5Cu.

## Properties
Its formation energy is 0.118 eV per atom. As for the offset from the most stable computed form: 1.03 eV per formula unit. The size of the total moment is 0.00 μB/f.u.

abc: 4.571 15.121 4.943
angles: 90.00 90.00 90.00
Space group Cmmm (No. 65)
One atom of each set of equivalent atoms:
Y 0.000 0.000 0.000
Y 0.000 0.156 0.500
Y 0.000 0.330 0.000
Cu 0.000 0.500 0.500



# 5
A plane-wave DFT calculation with PBE-GGA was carried out for an optimized crystal structure of Zr3Br.

## Properties
The formation energy from raw total energies comes out at 365 meV per atom. As for the offset from the most stable computed form: 2.47 eV per formula unit. The size of the total moment is 0.00 μB/f.u.

abc: 7.078 7.078 7.078
angles: 90.00 90.00 90.00
Space group Fm-3m (No. 225)
One atom of each set of equivalent atoms:
Zr 0.000 0.000 0.000
Zr 0.250 0.250 0.250
Br 0.000 0.000 0.500



# 6
A plane-wave DFT calculation with PBE-GGA was carried out for an optimized crystal structure of Na6InBr8.

## Properties
The formation energy from raw total energies comes out at -1372 meV per atom. The size of the total moment is 0.00 μB/f.u.

abc: 12.094 12.094 12.094
angles: 90.00 90.00 90.00
Space group Fm-3m (No. 225)
One atom of each set of equivalent atoms:
Na 0.000 0.250 0.250
In 0.000 0.000 0.000
Br 0.000 0.000 0.244
Br 0.250 0.250 0.250



# 7
A plane-wave DFT calculation with PBE-GGA was carried out for an optimized crystal structure of Pr8HoBi6.

## Properties
Its formation energy is -0.595 eV per atom. The size of the total moment is 0.00 μB/f.u.

abc: 8.3965 8.3965 26.4868
angles: 90.00 90.00 120.00
Space group R-3 (No. 148, hexagonal axes)
One atom of each set of equivalent atoms:
Pr 0.0000 0.0000 0.1668
Pr 0.0024 0.3419 0.3782
Ho 0.0000 0.0000 0.5000
Bi 0.0016 0.3252 0.5653



# 8
A plane-wave DFT calculation with PBE-GGA was carried out for an optimized crystal structure of PuInPb2S5.

## Properties
The formation energy from raw total energies comes out at -814 meV per atom. The size of the total moment is 5.00 μB/f.u.

abc: 4.049 17.701 12.937
angles: 90.00 90.00 90.00
Space group Cmc2_1 (No. 36)
One atom of each set of equivalent atoms:
Pu 0.000 0.206 0.000
In 0.000 0.455 0.416
Pb 0.000 0.124 0.642
Pb 0.000 0.131 0.289
S 0.000 0.045 0.030
S 0.000 0.288 0.643
S 0.000 0.316 0.357
S 0.000 0.361 0.990
S 0.000 0.482 0.749